Crystalline Re2TeAu at its relaxed geometry, computed with GGA-PBE.

a b c (Å): 9.4075 3.0465 5.0782
angles (deg): 90.00 99.95 90.00
Last column: nearest neighbours and their distance in Å.
Element x y z (fractional)
Re 0.0000 0.0000 0.0000  3 Re 2.70-2.84, 2 Au 2.78, 3 Te 2.88
Re 0.2324 0.5000 0.1865  3 Re 2.70-2.84, 2 Te 2.71, 3 Au 2.91-2.92
Re 0.5000 0.5000 0.0000  3 Re 2.70-2.84, 2 Au 2.78, 3 Te 2.88
Re 0.7324 0.0000 0.1865  3 Re 2.70-2.84, 2 Te 2.71, 3 Au 2.91-2.92
Te 0.2526 0.0000 0.7520  5 Re 2.71-2.88, 1 Au 2.85
Te 0.7526 0.5000 0.7520  5 Re 2.71-2.88, 1 Au 2.85
Au 0.4819 0.0000 0.4509  5 Re 2.78-2.92, 1 Te 2.85, 2 Au 3.05
Au 0.9819 0.5000 0.4509  5 Re 2.78-2.92, 1 Te 2.85, 2 Au 3.05

Calculated values
Its formation energy (no corrections) is 0.7786 eV per atom. The value obtained for the raw total energy is -56.40 eV/cell.

***

Crystalline ReTeAu at its relaxed geometry, computed with GGA-PBE.

a b c (Å): 3.1901 3.1901 6.9959
angles (deg): 90.00 90.00 120.00
Last column: nearest neighbours and their distance in Å.
Element x y z (fractional)
Re 0.0000 0.0000 0.0000  3 Te 2.64, 3 Au 2.85
Te 0.3333 0.6667 0.2708  3 Re 2.64
Au 0.6667 0.3333 0.6895  3 Re 2.85

Calculated values
Its formation energy (no corrections) is 0.5919 eV per atom. For the energy above the lowest structure with this stoichiometry, the calculation gives 0.4 meV per atom. The value obtained for the raw total energy is -17.09 eV/cell.